a | {"formula": "TmZrScCd", "functional": "PBE", "state": "relaxed", "rho_g_cm3": 7.15, "dos_at_fermi_per_ev_cell": 5.1, "sg": "F-43m", "lattice_angstrom": [[5.1576, 0.0000, 0.0000], [2.5788, 4.4666, 0.0000], [2.5788, 1.4889, 4.2111]], "species": ["Tm", "Cd", "Zr", "Sc"], "frac_coords": [[0.5000, 0.5000, 0.5000], [0.7500, 0.7500, 0.7500], [0.2500, 0.2500, 0.2500], [0.0000, 0.0000, 0.0000]]}

***

b | {"formula": "TmZrScCd", "functional": "PBE", "state": "relaxed", "rho_g_cm3": 7.13, "dos_at_fermi_per_ev_cell": 4.0, "sg": "P4mm", "lattice_angstrom": [[3.3492, 0.0000, 0.0000], [0.0000, 3.3492, 0.0000], [0.0000, 0.0000, 8.6679]], "species": ["Cd", "Tm", "Zr", "Sc"], "frac_coords": [[0.0000, 0.0000, 0.5835], [0.5000, 0.5000, 0.3256], [0.0000, 0.0000, 0.0601], [0.5000, 0.5000, 0.8155]]}

***

Last place for stability: a

***

a | {"formula": "ScCd2W", "functional": "PBE", "state": "relaxed", "rho_g_cm3": 9.77, "dos_at_fermi_per_ev_cell": 1.6, "sg": "P4/mmm", "lattice_angstrom": [[4.2377, 0.0000, 0.0000], [0.0000, 4.2348, 0.0000], [0.0000, 0.0000, 4.2954]], "species": ["Cd", "Cd", "Sc", "W"], "frac_coords": [[0.0000, 0.0000, 0.0000], [0.5000, 0.5000, 0.0000], [0.5000, 0.0000, 0.5000], [0.0000, 0.5000, 0.5000]]}

***

b | {"formula": "ScCd2W", "functional": "PBE", "state": "relaxed", "rho_g_cm3": 8.77, "dos_at_fermi_per_ev_cell": 9.7, "sg": "I-42d", "lattice_angstrom": [[-2.0547, -2.6475, 2.2660], [-1.2880, -1.8673, -3.3496], [6.7323, -8.5451, -0.2680]], "species": ["Cd", "Cd", "Cd", "Cd", "W", "W", "Sc", "Sc"], "frac_coords": [[0.8750, 0.8883, 0.7500], [0.1117, 0.6250, 0.2500], [0.3750, 0.3617, 0.7500], [0.6383, 0.1250, 0.2500], [0.7500, 0.2500, 0.5000], [0.0000, 0.0000, 0.0000], [0.5000, 0.5000, 0.0000], [0.2500, 0.7500, 0.5000]]}

***

Last place for stability: b